(1)
The following is a GGA-PBE calculation of Be2CuCl after structural relaxation, from Alexandria.

Cell and atoms, written as POSCAR:
```
Be2CuCl
1.0
2.924 0.000 0.000
0.000 5.052 0.000
0.000 0.000 8.009
Be Cu Cl
4 2 2
direct
0.000 0.000 0.000
0.000 0.500 0.222
0.500 0.000 0.222
0.500 0.500 0.000
0.000 0.500 0.795
0.500 0.000 0.795
0.000 0.000 0.397
0.500 0.500 0.397
```

Properties
N(E_F), states/eV/cell: 1.85
E_tot, eV/atom: -3.07



(2)
The following is a GGA-PBE calculation of BeCu2Cl after structural relaxation, from Alexandria.

Cell and atoms, written as POSCAR:
```
BeCu2Cl
1.0
2.987 0.000 0.000
0.000 4.907 0.000
0.000 0.000 8.462
Be Cu Cl
2 4 2
direct
0.000 0.000 0.000
0.500 0.500 0.000
0.000 0.000 0.564
0.000 0.500 0.794
0.500 0.000 0.794
0.500 0.500 0.564
0.000 0.500 0.163
0.500 0.000 0.163
```

Properties
N(E_F), states/eV/cell: 1.61
E_tot, eV/atom: -3.31



(3)
The following is a GGA-PBE calculation of Be2CuCl after structural relaxation, from Alexandria.

Cell and atoms, written as POSCAR:
```
Be2CuCl
1.0
2.771 0.000 0.000
0.000 5.710 0.000
0.000 0.000 7.802
Be Cu Cl
4 2 2
direct
0.000 0.000 0.000
0.000 0.500 0.258
0.500 0.000 0.758
0.500 0.500 0.500
0.000 0.500 0.725
0.500 0.000 0.225
0.000 0.000 0.569
0.500 0.500 0.069
```

Properties
N(E_F), states/eV/cell: 1.27
E_tot, eV/atom: -2.94



(4)
The following is a GGA-PBE calculation of Be2CuCl after structural relaxation, from Alexandria.

Cell and atoms, written as POSCAR:
```
Be2CuCl
1.0
5.991 0.000 0.000
0.000 5.991 0.000
0.000 0.000 5.991
Be Cu Cl
8 4 4
direct
0.250 0.250 0.250
0.250 0.250 0.750
0.250 0.750 0.250
0.250 0.750 0.750
0.750 0.250 0.250
0.750 0.250 0.750
0.750 0.750 0.250
0.750 0.750 0.750
0.000 0.000 0.000
0.000 0.500 0.500
0.500 0.000 0.500
0.500 0.500 0.000
0.000 0.000 0.500
0.000 0.500 0.000
0.500 0.000 0.000
0.500 0.500 0.500
```

Properties
N(E_F), states/eV/cell: 11.18
E_tot, eV/atom: -2.35



(5)
The following is a GGA-PBE calculation of BeCu2Cl after structural relaxation, from Alexandria.

Cell and atoms, written as POSCAR:
```
BeCu2Cl
1.0
3.028 0.000 0.000
0.000 3.028 0.000
0.000 0.000 6.505
Be Cu Cl
1 2 1
direct
0.000 0.000 0.000
0.000 0.000 0.655
0.500 0.500 0.839
0.500 0.500 0.220
```

Properties
N(E_F), states/eV/cell: 1.33
E_tot, eV/atom: -3.26



(6)
The following is a GGA-PBE calculation of BeCu2Cl4 after structural relaxation, from Alexandria.

Cell and atoms, written as POSCAR:
```
BeCu2Cl4
1.0
5.657 0.000 0.000
0.000 5.657 0.000
0.000 0.000 10.683
Be Cu Cl
2 4 8
direct
0.000 0.000 0.000
0.500 0.500 0.500
0.000 0.500 0.000
0.000 0.500 0.500
0.500 0.000 0.000
0.500 0.000 0.500
0.209 0.209 0.888
0.209 0.791 0.112
0.291 0.291 0.388
0.291 0.709 0.612
0.709 0.291 0.612
0.709 0.709 0.388
0.791 0.209 0.112
0.791 0.791 0.888
```

Properties
N(E_F), states/eV/cell: 0.00
E_tot, eV/atom: -3.55



(7)
The following is a GGA-PBE calculation of Be2CuCl after structural relaxation, from Alexandria.

Cell and atoms, written as POSCAR:
```
Be2CuCl
1.0
5.523 0.000 0.000
0.000 5.523 0.000
0.000 0.000 7.537
Be Cu Cl
8 4 4
direct
0.246 0.250 0.125
0.250 0.746 0.375
0.250 0.754 0.875
0.254 0.250 0.625
0.746 0.750 0.625
0.750 0.246 0.875
0.750 0.254 0.375
0.754 0.750 0.125
0.000 0.000 0.500
0.000 0.500 0.750
0.500 0.000 0.250
0.500 0.500 0.000
0.000 0.000 0.000
0.000 0.500 0.250
0.500 0.000 0.750
0.500 0.500 0.500
```

Properties
N(E_F), states/eV/cell: 0.00
E_tot, eV/atom: -2.97



(8)
The following is a GGA-PBE calculation of Be2CuCl after structural relaxation, from Alexandria.

Cell and atoms, written as POSCAR:
```
Be2CuCl
1.0
2.851 0.000 0.000
0.000 2.986 0.000
0.000 0.000 6.032
Be Cu Cl
2 1 1
direct
0.000 0.000 0.191
0.000 0.000 0.809
0.500 0.500 0.000
0.500 0.000 0.500
```

Properties
N(E_F), states/eV/cell: 1.10
E_tot, eV/atom: -3.25



(9)
The following is a GGA-PBE calculation of Be2CuCl after structural relaxation, from Alexandria.

Cell and atoms, written as POSCAR:
```
Be2CuCl
1.0
3.144 0.000 0.000
0.000 3.144 0.000
0.000 0.000 11.202
Be Cu Cl
4 2 2
direct
0.000 0.000 0.000
0.000 0.500 0.250
0.500 0.000 0.750
0.500 0.500 0.500
0.000 0.000 0.500
0.500 0.500 0.000
0.000 0.500 0.750
0.500 0.000 0.250
```

Properties
N(E_F), states/eV/cell: 2.71
E_tot, eV/atom: -2.85



(10)
The following is a GGA-PBE calculation of Be2CuCl after structural relaxation, from Alexandria.

Cell and atoms, written as POSCAR:
```
Be2CuCl
1.0
2.765 0.000 0.000
0.000 5.712 0.000
0.000 0.000 7.321
Be Cu Cl
4 2 2
direct
0.000 0.000 0.249
0.000 0.000 0.751
0.500 0.500 0.251
0.500 0.500 0.749
0.000 0.500 0.000
0.500 0.000 0.500
0.000 0.500 0.500
0.500 0.000 0.000
```

Properties
N(E_F), states/eV/cell: 2.28
E_tot, eV/atom: -2.86



(11)
The following is a GGA-PBE calculation of Be2CuClF after structural relaxation, from Alexandria.

Cell and atoms, written as POSCAR:
```
Be2CuClF
1.0
4.326 0.000 0.000
0.000 4.326 0.000
0.000 0.000 4.350
Be Cu Cl F
2 1 1 1
direct
0.000 0.500 0.000
0.500 0.000 0.000
0.000 0.000 0.000
0.000 0.000 0.500
0.500 0.500 0.500
```

Properties
N(E_F), states/eV/cell: 2.61
E_tot, eV/atom: -2.67



(12)
The following is a GGA-PBE calculation of Be2CuGeCl after structural relaxation, from Alexandria.

Cell and atoms, written as POSCAR:
```
Be2CuGeCl
1.0
4.369 0.000 0.000
0.000 4.369 0.000
0.000 0.000 4.469
Be Cu Ge Cl
2 1 1 1
direct
0.000 0.500 0.000
0.500 0.000 0.000
0.000 0.000 0.000
0.000 0.000 0.500
0.500 0.500 0.500
```

Properties
N(E_F), states/eV/cell: 1.14
E_tot, eV/atom: -3.11



(13)
The following is a GGA-PBE calculation of BeCu2GeCl after structural relaxation, from Alexandria.

Cell and atoms, written as POSCAR:
```
BeCu2GeCl
1.0
4.462 0.000 0.000
0.000 4.462 0.000
0.000 0.000 4.140
Be Cu Ge Cl
1 2 1 1
direct
0.000 0.000 0.000
0.000 0.500 0.000
0.500 0.000 0.000
0.000 0.000 0.500
0.500 0.500 0.500
```

Properties
N(E_F), states/eV/cell: 4.68
E_tot, eV/atom: -3.20



(14)
The following is a GGA-PBE calculation of BeCu2ICl after structural relaxation, from Alexandria.

Cell and atoms, written as POSCAR:
```
BeCu2ICl
1.0
4.820 0.000 0.000
0.000 4.820 0.000
0.000 0.000 4.113
Be Cu I Cl
1 2 1 1
direct
0.000 0.000 0.000
0.000 0.500 0.000
0.500 0.000 0.000
0.500 0.500 0.500
0.000 0.000 0.500
```

Properties
N(E_F), states/eV/cell: 2.90
E_tot, eV/atom: -2.57



(15)
The following is a GGA-PBE calculation of Be2InCuCl after structural relaxation, from Alexandria.

Cell and atoms, written as POSCAR:
```
Be2InCuCl
1.0
4.334 0.000 0.000
0.000 4.334 0.000
0.000 0.000 5.405
Be In Cu Cl
2 1 1 1
direct
0.000 0.500 0.000
0.500 0.000 0.000
0.000 0.000 0.500
0.000 0.000 0.000
0.500 0.500 0.500
```

Properties
N(E_F), states/eV/cell: 2.16
E_tot, eV/atom: -2.84



(16)
The following is a GGA-PBE calculation of KBeCuCl2 after structural relaxation, from Alexandria.

Cell and atoms, written as POSCAR:
```
KBeCuCl2
1.0
4.837 0.000 0.000
0.000 4.837 0.000
0.000 0.000 5.850
K Be Cu Cl
1 1 1 2
direct
0.000 0.000 0.000
0.500 0.500 0.000
0.000 0.000 0.500
0.000 0.500 0.500
0.500 0.000 0.500
```

Properties
N(E_F), states/eV/cell: 0.84
E_tot, eV/atom: -2.43



(17)
The following is a GGA-PBE calculation of BeCu2NiCl after structural relaxation, from Alexandria.

Cell and atoms, written as POSCAR:
```
BeCu2NiCl
1.0
4.406 0.000 0.000
0.000 4.406 0.000
0.000 0.000 3.873
Be Cu Ni Cl
1 2 1 1
direct
0.000 0.000 0.000
0.000 0.500 0.500
0.500 0.000 0.500
0.500 0.500 0.000
0.000 0.000 0.500
```

Properties
N(E_F), states/eV/cell: 2.92
E_tot, eV/atom: -2.84



(18)
The following is a GGA-PBE calculation of BeCuPCl2 after structural relaxation, from Alexandria.

Cell and atoms, written as POSCAR:
```
BeCuPCl2
1.0
4.419 0.000 0.000
0.000 4.419 0.000
0.000 0.000 5.191
Be Cu P Cl
1 1 1 2
direct
0.000 0.000 0.000
0.500 0.500 0.500
0.500 0.500 0.000
0.000 0.500 0.500
0.500 0.000 0.500
```

Properties
N(E_F), states/eV/cell: 3.78
E_tot, eV/atom: -2.70



(19)
The following is a GGA-PBE calculation of BeCuPCl2 after structural relaxation, from Alexandria.

Cell and atoms, written as POSCAR:
```
BeCuPCl2
1.0
4.044 0.000 0.000
0.000 4.044 0.000
0.000 0.000 6.612
Be Cu P Cl
1 1 1 2
direct
0.000 0.000 0.000
0.500 0.500 0.500
0.000 0.000 0.500
0.000 0.500 0.000
0.500 0.000 0.000
```

Properties
N(E_F), states/eV/cell: 2.03
E_tot, eV/atom: -3.11



(20)
The following is a GGA-PBE calculation of BeCuPd2Cl after structural relaxation, from Alexandria.

Cell and atoms, written as POSCAR:
```
BeCuPd2Cl
1.0
4.783 0.000 0.000
0.000 4.783 0.000
0.000 0.000 4.192
Be Cu Pd Cl
1 1 2 1
direct
0.000 0.000 0.000
0.500 0.500 0.500
0.000 0.500 0.500
0.500 0.000 0.500
0.500 0.500 0.000
```

Properties
N(E_F), states/eV/cell: 2.51
E_tot, eV/atom: -3.18



(21)
The following is a GGA-PBE calculation of Rb2BeCuCl6 after structural relaxation, from Alexandria.

Cell and atoms, written as POSCAR:
```
Rb2BeCuCl6
1.0
-3.454 3.454 5.229
3.454 -3.454 5.229
3.454 3.454 -5.229
Rb Be Cu Cl
2 1 1 6
direct
0.250 0.750 0.500
0.750 0.250 0.500
0.000 0.000 0.000
0.500 0.500 0.000
0.221 0.221 0.442
0.221 0.779 0.000
0.290 0.290 0.000
0.710 0.710 0.000
0.779 0.221 0.000
0.779 0.779 0.558
```

Properties
N(E_F), states/eV/cell: 2.40
E_tot, eV/atom: -3.30



(22)
The following is a GGA-PBE calculation of BeCuS2Cl after structural relaxation, from Alexandria.

Cell and atoms, written as POSCAR:
```
BeCuS2Cl
1.0
4.554 0.000 0.000
0.000 4.554 0.000
0.000 0.000 4.555
Be Cu S Cl
1 1 2 1
direct
0.000 0.000 0.000
0.500 0.500 0.500
0.000 0.500 0.500
0.500 0.000 0.500
0.500 0.500 0.000
```

Properties
N(E_F), states/eV/cell: 2.92
E_tot, eV/atom: -2.88



(23)
The following is a GGA-PBE calculation of BeCuS2Cl after structural relaxation, from Alexandria.

Cell and atoms, written as POSCAR:
```
BeCuS2Cl
1.0
3.956 0.000 0.000
0.000 3.956 0.000
0.000 0.000 6.764
Be Cu S Cl
1 1 2 1
direct
0.000 0.000 0.000
0.500 0.500 0.500
0.000 0.500 0.000
0.500 0.000 0.000
0.000 0.000 0.500
```

Properties
N(E_F), states/eV/cell: 2.73
E_tot, eV/atom: -3.36



(24)
The following is a GGA-PBE calculation of BeCuS2Cl after structural relaxation, from Alexandria.

Cell and atoms, written as POSCAR:
```
BeCuS2Cl
1.0
5.029 0.000 0.000
0.000 5.029 0.000
0.000 0.000 3.744
Be Cu S Cl
1 1 2 1
direct
0.000 0.000 0.000
0.500 0.500 0.000
0.000 0.500 0.500
0.500 0.000 0.500
0.000 0.000 0.500
```

Properties
N(E_F), states/eV/cell: 1.65
E_tot, eV/atom: -2.52



(25)
The following is a GGA-PBE calculation of ScBeCu2Cl after structural relaxation, from Alexandria.

Cell and atoms, written as POSCAR:
```
ScBeCu2Cl
1.0
4.107 0.000 0.000
0.000 4.107 0.000
0.000 0.000 4.816
Sc Be Cu Cl
1 1 2 1
direct
0.000 0.000 0.000
0.500 0.500 0.500
0.000 0.500 0.500
0.500 0.000 0.500
0.500 0.500 0.000
```

Properties
N(E_F), states/eV/cell: 3.83
E_tot, eV/atom: -3.86



(26)
The following is a GGA-PBE calculation of Ta2BeCuCl after structural relaxation, from Alexandria.

Cell and atoms, written as POSCAR:
```
Ta2BeCuCl
1.0
4.506 0.000 0.000
0.000 4.506 0.000
0.000 0.000 4.209
Ta Be Cu Cl
2 1 1 1
direct
0.000 0.500 0.000
0.500 0.000 0.000
0.000 0.000 0.500
0.500 0.500 0.500
0.500 0.500 0.000
```

Properties
N(E_F), states/eV/cell: 2.11
E_tot, eV/atom: -5.47



(27)
The following is a GGA-PBE calculation of Be2CuTcCl after structural relaxation, from Alexandria.

Cell and atoms, written as POSCAR:
```
Be2CuTcCl
1.0
3.977 0.000 0.000
0.000 3.977 0.000
0.000 0.000 4.408
Be Cu Tc Cl
2 1 1 1
direct
0.000 0.500 0.000
0.500 0.000 0.000
0.000 0.000 0.500
0.500 0.500 0.500
0.500 0.500 0.000
```

Properties
N(E_F), states/eV/cell: 3.21
E_tot, eV/atom: -3.54



(28)
The following is a GGA-PBE calculation of BeCu2TcCl after structural relaxation, from Alexandria.

Cell and atoms, written as POSCAR:
```
BeCu2TcCl
1.0
4.755 0.000 0.000
0.000 4.755 0.000
0.000 0.000 4.373
Be Cu Tc Cl
1 2 1 1
direct
0.000 0.000 0.000
0.000 0.500 0.500
0.500 0.000 0.500
0.000 0.000 0.500
0.500 0.500 0.000
```

Properties
N(E_F), states/eV/cell: 3.83
E_tot, eV/atom: -3.47